Record 1
Compound: ZrAg4P
Source: Alexandria via LeMat-Bulk
Functional: GGA-PBE
Structure: relaxed

CIF file:
```
data_ZrAg4P
_chemical_formula_sum 'Zr1 Ag4 P1'
_cell_length_a 5.448
_cell_length_b 5.448
_cell_length_c 5.448
_cell_angle_alpha 60.00
_cell_angle_beta 60.00
_cell_angle_gamma 60.00
_space_group_name_H-M_alt 'P 1'
_space_group_IT_number 1
loop_
_space_group_symop_operation_xyz
'x,y,z'
loop_
_atom_site_label
_atom_site_fract_x
_atom_site_fract_y
_atom_site_fract_z
Zr1 0.000 0.000 0.000
P1 0.750 0.750 0.750
Ag1 0.375 0.375 0.875
Ag2 0.875 0.375 0.375
Ag3 0.375 0.375 0.375
Ag4 0.375 0.875 0.375
```

final energy = -3.94 eV/atom
symmetry = F-43m
energy of formation from the pure elements = 0.292 eV/atom

Record 2
Compound: Zr2AgP
Source: Alexandria via LeMat-Bulk
Functional: GGA-PBE
Structure: relaxed

CIF file:
```
data_Zr2AgP
_chemical_formula_sum 'Zr2 Ag1 P1'
_cell_length_a 5.676
_cell_length_b 5.676
_cell_length_c 3.799
_cell_angle_alpha 90.00
_cell_angle_beta 90.00
_cell_angle_gamma 141.39
_space_group_name_H-M_alt 'P 1'
_space_group_IT_number 1
loop_
_space_group_symop_operation_xyz
'x,y,z'
loop_
_atom_site_label
_atom_site_fract_x
_atom_site_fract_y
_atom_site_fract_z
Ag1 0.552 0.448 0.000
P1 0.710 0.290 0.500
Zr1 0.962 0.038 0.500
Zr2 0.276 0.724 0.000
```

final energy = -6.92 eV/atom
symmetry = Amm2
energy of formation from the pure elements = -0.582 eV/atom

Record 3
Compound: Zr2AgP
Source: Alexandria via LeMat-Bulk
Functional: GGA-PBE
Structure: relaxed

CIF file:
```
data_Zr2AgP
_chemical_formula_sum 'Zr2 Ag1 P1'
_cell_length_a 4.776
_cell_length_b 4.776
_cell_length_c 4.776
_cell_angle_alpha 60.00
_cell_angle_beta 60.00
_cell_angle_gamma 60.00
_space_group_name_H-M_alt 'P 1'
_space_group_IT_number 1
loop_
_space_group_symop_operation_xyz
'x,y,z'
loop_
_atom_site_label
_atom_site_fract_x
_atom_site_fract_y
_atom_site_fract_z
Zr1 0.000 0.000 0.000
Zr2 0.750 0.750 0.750
P1 0.250 0.250 0.250
Ag1 0.500 0.500 0.500
```

final energy = -6.06 eV/atom
symmetry = F-43m
energy of formation from the pure elements = 0.284 eV/atom

Record 4
Compound: Zr2AgP
Source: Alexandria via LeMat-Bulk
Functional: GGA-PBE
Structure: relaxed

CIF file:
```
data_Zr2AgP
_chemical_formula_sum 'Zr2 Ag1 P1'
_cell_length_a 4.731
_cell_length_b 4.731
_cell_length_c 3.386
_cell_angle_alpha 90.00
_cell_angle_beta 90.00
_cell_angle_gamma 100.22
_space_group_name_H-M_alt 'P 1'
_space_group_IT_number 1
loop_
_space_group_symop_operation_xyz
'x,y,z'
loop_
_atom_site_label
_atom_site_fract_x
_atom_site_fract_y
_atom_site_fract_z
P1 0.000 0.000 0.500
Ag1 0.500 0.500 0.500
Zr1 0.000 0.500 0.000
Zr2 0.500 0.000 0.000
```

final energy = -6.76 eV/atom
symmetry = Cmmm
energy of formation from the pure elements = -0.423 eV/atom

Record 5
Compound: ZrAgP
Source: Alexandria via LeMat-Bulk
Functional: GGA-PBE
Structure: relaxed

CIF file:
```
data_ZrAgP
_chemical_formula_sum 'Zr1 Ag1 P1'
_cell_length_a 3.053
_cell_length_b 3.053
_cell_length_c 6.938
_cell_angle_alpha 90.00
_cell_angle_beta 90.00
_cell_angle_gamma 120.00
_space_group_name_H-M_alt 'P 1'
_space_group_IT_number 1
loop_
_space_group_symop_operation_xyz
'x,y,z'
loop_
_atom_site_label
_atom_site_fract_x
_atom_site_fract_y
_atom_site_fract_z
P1 0.667 0.333 0.343
Zr1 0.333 0.667 0.647
Ag1 0.000 0.000 0.010
```

final energy = -5.60 eV/atom
symmetry = P3m1
energy of formation from the pure elements = 0.004 eV/atom

Record 6
Compound: ZrAgP
Source: Alexandria via LeMat-Bulk
Functional: GGA-PBE
Structure: relaxed

CIF file:
```
data_ZrAgP
_chemical_formula_sum 'Zr1 Ag1 P1'
_cell_length_a 4.488
_cell_length_b 4.488
_cell_length_c 4.488
_cell_angle_alpha 60.00
_cell_angle_beta 60.00
_cell_angle_gamma 60.00
_space_group_name_H-M_alt 'P 1'
_space_group_IT_number 1
loop_
_space_group_symop_operation_xyz
'x,y,z'
loop_
_atom_site_label
_atom_site_fract_x
_atom_site_fract_y
_atom_site_fract_z
Zr1 0.250 0.250 0.250
Ag1 0.000 0.000 0.000
P1 0.500 0.500 0.500
```

final energy = -5.74 eV/atom
symmetry = F-43m
energy of formation from the pure elements = -0.135 eV/atom

Record 7
Compound: ZrAgP
Source: Alexandria via LeMat-Bulk
Functional: GGA-PBE
Structure: relaxed

CIF file:
```
data_ZrAgP
_chemical_formula_sum 'Zr1 Ag1 P1'
_cell_length_a 4.331
_cell_length_b 4.331
_cell_length_c 4.331
_cell_angle_alpha 60.00
_cell_angle_beta 60.00
_cell_angle_gamma 60.00
_space_group_name_H-M_alt 'P 1'
_space_group_IT_number 1
loop_
_space_group_symop_operation_xyz
'x,y,z'
loop_
_atom_site_label
_atom_site_fract_x
_atom_site_fract_y
_atom_site_fract_z
P1 0.250 0.250 0.250
Ag1 0.500 0.500 0.500
Zr1 0.000 0.000 0.000
```

final energy = -5.96 eV/atom
symmetry = F-43m
energy of formation from the pure elements = -0.356 eV/atom

Record 8
Compound: Zr2AgP
Source: Alexandria via LeMat-Bulk
Functional: GGA-PBE
Structure: relaxed

CIF file:
```
data_Zr2AgP
_chemical_formula_sum 'Zr2 Ag1 P1'
_cell_length_a 3.421
_cell_length_b 3.421
_cell_length_c 6.430
_cell_angle_alpha 90.00
_cell_angle_beta 90.00
_cell_angle_gamma 90.00
_space_group_name_H-M_alt 'P 1'
_space_group_IT_number 1
loop_
_space_group_symop_operation_xyz
'x,y,z'
loop_
_atom_site_label
_atom_site_fract_x
_atom_site_fract_y
_atom_site_fract_z
P1 0.500 0.500 0.500
Zr1 0.000 0.000 0.728
Zr2 0.000 0.000 0.272
Ag1 0.500 0.500 0.000
```

final energy = -6.84 eV/atom
symmetry = P4/mmm
energy of formation from the pure elements = -0.496 eV/atom

Record 9
Compound: Zr2AgP
Source: Alexandria via LeMat-Bulk
Functional: GGA-PBE
Structure: relaxed

CIF file:
```
data_Zr2AgP
_chemical_formula_sum 'Zr2 Ag1 P1'
_cell_length_a 7.474
_cell_length_b 7.474
_cell_length_c 7.474
_cell_angle_alpha 28.17
_cell_angle_beta 28.17
_cell_angle_gamma 28.17
_space_group_name_H-M_alt 'P 1'
_space_group_IT_number 1
loop_
_space_group_symop_operation_xyz
'x,y,z'
loop_
_atom_site_label
_atom_site_fract_x
_atom_site_fract_y
_atom_site_fract_z
Zr1 0.765 0.765 0.765
Zr2 0.235 0.235 0.235
P1 0.500 0.500 0.500
Ag1 0.000 0.000 0.000
```

final energy = -7.00 eV/atom
symmetry = R-3m
energy of formation from the pure elements = -0.660 eV/atom

Record 10
Compound: Zr2AgP
Source: Alexandria via LeMat-Bulk
Functional: GGA-PBE
Structure: relaxed

CIF file:
```
data_Zr2AgP
_chemical_formula_sum 'Zr2 Ag1 P1'
_cell_length_a 3.174
_cell_length_b 3.174
_cell_length_c 7.771
_cell_angle_alpha 90.00
_cell_angle_beta 90.00
_cell_angle_gamma 102.71
_space_group_name_H-M_alt 'P 1'
_space_group_IT_number 1
loop_
_space_group_symop_operation_xyz
'x,y,z'
loop_
_atom_site_label
_atom_site_fract_x
_atom_site_fract_y
_atom_site_fract_z
Ag1 0.500 0.500 0.500
Zr1 0.000 0.000 0.218
Zr2 0.000 0.000 0.782
P1 0.500 0.500 0.000
```

final energy = -6.83 eV/atom
symmetry = Cmmm
energy of formation from the pure elements = -0.486 eV/atom

Record 11
Compound: ZrAgP
Source: Alexandria via LeMat-Bulk
Functional: GGA-PBE
Structure: relaxed

CIF file:
```
data_ZrAgP
_chemical_formula_sum 'Zr1 Ag1 P1'
_cell_length_a 4.427
_cell_length_b 4.427
_cell_length_c 4.427
_cell_angle_alpha 60.00
_cell_angle_beta 60.00
_cell_angle_gamma 60.00
_space_group_name_H-M_alt 'P 1'
_space_group_IT_number 1
loop_
_space_group_symop_operation_xyz
'x,y,z'
loop_
_atom_site_label
_atom_site_fract_x
_atom_site_fract_y
_atom_site_fract_z
P1 0.000 0.000 0.000
Ag1 0.250 0.250 0.250
Zr1 0.500 0.500 0.500
```

final energy = -5.38 eV/atom
symmetry = F-43m
energy of formation from the pure elements = 0.223 eV/atom

Record 12
Compound: ZrAgP
Source: Alexandria via LeMat-Bulk
Functional: GGA-PBE
Structure: relaxed

CIF file:
```
data_ZrAgP
_chemical_formula_sum 'Zr1 Ag1 P1'
_cell_length_a 5.901
_cell_length_b 5.901
_cell_length_c 5.901
_cell_angle_alpha 151.21
_cell_angle_beta 145.38
_cell_angle_gamma 45.63
_space_group_name_H-M_alt 'P 1'
_space_group_IT_number 1
loop_
_space_group_symop_operation_xyz
'x,y,z'
loop_
_atom_site_label
_atom_site_fract_x
_atom_site_fract_y
_atom_site_fract_z
Zr1 0.312 0.312 0.000
P1 0.681 0.681 0.000
Ag1 0.008 0.008 0.000
```

final energy = -5.88 eV/atom
symmetry = Imm2
energy of formation from the pure elements = -0.281 eV/atom